1.
VASP calculation (PBE-GGA) on a relaxed structure of Hg2MoIr.

```
8
Lattice="4.143 0.000 0.000 0.000 4.143 0.000 0.000 0.000 8.434" Properties=species:S:1:pos:R:3 pbc="T T T"
Hg 0.000 2.071 2.108
Hg 0.000 2.071 6.325
Hg 2.071 0.000 2.108
Hg 2.071 0.000 6.325
Mo 0.000 0.000 0.000
Mo 2.071 2.071 4.217
Ir 0.000 0.000 4.217
Ir 2.071 2.071 0.000
```

## Properties
offset from the most stable computed form	522	meV per atom
ΔH_f (0 K)	2.79	eV per formula unit
DFT total energy	-4.377	eV per atom

=====

2.
VASP calculation (PBE-GGA) on a relaxed structure of RbZnSCl2.

```
5
Lattice="6.298 0.000 0.000 0.000 6.298 0.000 0.000 0.000 6.576" Properties=species:S:1:pos:R:3 pbc="T T T"
Rb 0.000 0.000 0.000
Zn 3.149 3.149 3.288
S 0.000 0.000 3.288
Cl 0.000 3.149 0.000
Cl 3.149 0.000 0.000
```

## Properties
offset from the most stable computed form	1145	meV per atom
formation energy (no corrections)	0.237	eV/atom
DFT total energy	-1.775	eV per atom

=====

3.
VASP calculation (PBE-GGA) on a relaxed structure of PrYTm2Sc2.

```
12
Lattice="6.767 0.000 0.000 0.000 9.530 0.000 0.000 0.000 5.472" Properties=species:S:1:pos:R:3 pbc="T T T"
Pr 0.000 0.000 0.000
Pr 3.384 4.765 2.736
Y 0.000 4.765 2.736
Y 3.384 0.000 0.000
Tm 1.678 3.176 0.000
Tm 1.706 7.942 2.736
Tm 5.062 1.589 2.736
Tm 5.089 6.354 0.000
Sc 1.694 1.587 2.736
Sc 1.690 6.352 0.000
Sc 5.077 3.178 0.000
Sc 5.074 7.943 2.736
```

## Properties
ΔH_f (0 K)	0.46	eV per formula unit
DFT total energy	-5.398	eV per atom

=====

4.
VASP calculation (PBE-GGA) on a relaxed structure of Tb8RuAu2.

```
11
Lattice="8.714 -2.577 0.000 8.714 2.577 0.000 -1.915 0.000 6.574" Properties=species:S:1:pos:R:3 pbc="T T T"
Tb -0.060 0.000 1.918
Tb 1.940 0.000 5.329
Tb 4.899 0.000 3.500
Tb 7.033 0.000 0.421
Tb 8.480 0.000 6.153
Tb 10.614 0.000 3.074
Tb 13.574 0.000 1.245
Tb 15.573 0.000 4.656
Ru 7.757 0.000 3.287
Au 2.829 0.000 1.444
Au 12.685 0.000 5.130
```

## Properties
ΔH_f (0 K)	-4.46	eV per formula unit
DFT total energy	-5.212	eV per atom

=====

5.
VASP calculation (PBE-GGA) on a relaxed structure of PmTm2Rh2.

```
10
Lattice="5.425 0.000 0.000 0.000 4.416 0.000 -1.284 0.000 10.289" Properties=species:S:1:pos:R:3 pbc="T T T"
Pm 0.036 1.104 2.911
Pm 4.106 3.312 7.378
Tm 1.421 3.312 0.299
Tm 1.250 1.104 6.301
Tm 2.891 3.312 3.987
Tm 2.721 1.104 9.989
Rh 0.273 3.312 4.806
Rh -0.033 1.104 8.892
Rh 4.175 3.312 1.397
Rh 3.869 1.104 5.483
```

## Properties
ΔH_f (0 K)	-3.58	eV per formula unit
DFT total energy	-6.395	eV per atom

=====

6.
VASP calculation (PBE-GGA) on a relaxed structure of BeFeOs.

```
12
Lattice="8.206 0.000 0.000 0.000 3.830 0.000 -2.397 0.000 4.183" Properties=species:S:1:pos:R:3 pbc="T T T"
Be 0.000 0.000 0.000
Be -0.299 1.915 3.245
Be 4.103 1.915 0.000
Be 3.804 0.000 3.245
Fe 0.730 1.915 1.135
Fe 1.434 0.000 2.799
Fe 4.833 0.000 1.135
Fe 5.537 1.915 2.799
Os -1.067 0.000 2.139
Os 2.337 0.000 0.499
Os 3.036 1.915 2.139
Os 6.440 1.915 0.499
```

## Properties
offset from the most stable computed form	100	meV per atom
ΔH_f (0 K)	-0.03	eV per formula unit
DFT total energy	-7.815	eV per atom

=====

Number 1: ρ 15.8 g cm⁻³. Number 2: ρ 1.6 g cm⁻³. Number 3: ρ 6.2 g cm⁻³. Number 4: ρ 9.9 g cm⁻³. Number 5: ρ 9.3 g cm⁻³. Number 6: ρ 12.9 g cm⁻³.